[1]
The following is a DFT calculation (SCAN) of BeTeW at its PBEsol-relaxed geometry.

abc: 4.1093 4.1093 4.1093
angles: 60.00 60.00 60.00
Last column: nearest neighbours and their distance in Å.
Atoms (fractional coordinates):
1 W 0.5000 0.5000 0.5000  4 Be 2.52
2 Te 0.0000 0.0000 0.0000  4 Be 2.52
3 Be 0.7500 0.7500 0.7500  4 W 2.52, 4 Te 2.52

Output
The total DFT energy (no corrections) is -35.973 eV/atom.

***

[2]
The following is a DFT calculation (SCAN) of Be2TeW at its PBEsol-relaxed geometry.

abc: 3.2918 3.2918 5.2424
angles: 90.00 90.00 90.00
Last column: nearest neighbours and their distance in Å.
Atoms (fractional coordinates):
1 W 0.5000 0.5000 0.7744  1 Be 2.31
2 Te 0.0000 0.0000 0.4949  6 Be 2.52-2.75, 4 W 2.75
3 Be 0.5000 0.5000 0.2157  1 W 2.31, 4 Be 2.55
4 Be 0.0000 0.0000 0.0150  2 Te 2.52-2.73, 4 Be 2.55, 4 W 2.65

Output
The total DFT energy (no corrections) is -28.367 eV/atom.

***

[3]
The following is a DFT calculation (SCAN) of BeTe2W at its PBEsol-relaxed geometry.

abc: 3.3004 3.3004 8.6676
angles: 79.02 79.02 60.00
Last column: nearest neighbours and their distance in Å.
Atoms (fractional coordinates):
1 Te 0.1034 0.1034 0.6898  3 Be 2.49, 1 W 2.62
2 W 0.0000 0.0000 0.0000  2 Te 2.62
3 Te 0.8966 0.8966 0.3102  3 Be 2.49, 1 W 2.62
4 Be 0.5000 0.5000 0.5000  6 Te 2.49

Output
The total DFT energy (no corrections) is -36.116 eV/atom.

***

[4]
The following is a DFT calculation (SCAN) of Y2BeTe at its PBEsol-relaxed geometry.

abc: 3.7380 4.6183 6.0325
angles: 112.51 108.05 90.00
Last column: nearest neighbours and their distance in Å.
Atoms (fractional coordinates):
1 Y 0.7678 0.2678 0.5355  4 Te 3.04, 2 Be 3.29, 4 Y 3.35-3.38
2 Be 0.5258 0.5258 0.0516  2 Te 2.67, 4 Y 2.98
3 Te 0.2073 0.7073 0.4146  2 Be 2.67
4 Y 0.9991 0.9991 0.9982  4 Be 2.98, 2 Te 3.18

Output
The value obtained for the energy above the lowest structure with this stoichiometry is 0.118 eV per atom.

***

[5]
The following is a DFT calculation (SCAN) of Y2BeTe at its PBEsol-relaxed geometry.

abc: 3.6899 3.6902 6.7228
angles: 90.00 90.05 90.00
Last column: nearest neighbours and their distance in Å.
Atoms (fractional coordinates):
1 Be 0.5000 0.5000 0.0000  8 Y 3.05, 2 Te 3.36
2 Te 0.5000 0.5000 0.5000  8 Y 3.16, 2 Be 3.36
3 Y 0.0003 0.0000 0.7646  4 Be 3.05, 4 Te 3.16, 1 Y 3.17
4 Y 0.9997 0.0000 0.2354  4 Be 3.05, 4 Te 3.16, 1 Y 3.17

Output
The value obtained for the energy above the lowest structure with this stoichiometry is 0.041 eV per atom.

***

[6]
The following is a DFT calculation (SCAN) of YBeTe2 at its PBEsol-relaxed geometry.

abc: 4.1144 4.1144 6.0517
angles: 90.00 90.00 90.00
Last column: nearest neighbours and their distance in Å.
Atoms (fractional coordinates):
1 Te 0.0000 0.0000 0.9027  2 Y 2.94-3.11, 4 Be 2.98
2 Be 0.5000 0.5000 0.7998  1 Te 2.54
3 Y 0.0000 0.0000 0.4167  6 Te 2.92-3.11
4 Te 0.5000 0.5000 0.3808  1 Be 2.54

Output
The value obtained for the energy above the lowest structure with this stoichiometry is 0.027 eV per atom.

***

[7]
The following is a DFT calculation (SCAN) of YBeTe2 at its PBEsol-relaxed geometry.

abc: 3.8928 3.8928 7.5139
angles: 74.99 74.99 60.00
Last column: nearest neighbours and their distance in Å.
Atoms (fractional coordinates):
1 Y 0.5000 0.5000 0.5000  6 Te 3.07
2 Te 0.7360 0.7360 0.7920  3 Be 2.70
3 Be 0.0000 0.0000 0.0000  6 Te 2.70
4 Te 0.2640 0.2640 0.2080  3 Be 2.70

Output
The value obtained for the energy above the lowest structure with this stoichiometry is 0.000 eV per atom.

***

[8]
The following is a DFT calculation (SCAN) of Y2Be2Te at its PBEsol-relaxed geometry.

abc: 4.1568 6.8405 6.8405
angles: 90.00 90.00 90.00
Last column: nearest neighbours and their distance in Å.
Atoms (fractional coordinates):
1 Be 0.0000 0.3894 0.8894  1 Be 2.14
2 Be 0.0000 0.1106 0.3894  1 Be 2.14
3 Y 0.5000 0.1709 0.6709  6 Be 2.86-2.97
4 Be 0.0000 0.6106 0.1106  1 Be 2.14
5 Y 0.5000 0.6709 0.8291  6 Be 2.86-2.97
6 Y 0.5000 0.8291 0.3291  6 Be 2.86-2.97
7 Y 0.5000 0.3291 0.1709  6 Be 2.86-2.97
8 Te 0.0000 0.5000 0.5000  4 Be 2.77
9 Be 0.0000 0.8894 0.6106  1 Be 2.14
10 Te 0.0000 0.0000 0.0000  4 Be 2.77

Output
The total DFT energy (no corrections) is -20.689 eV/atom.

***

[9]
The following is a DFT calculation (SCAN) of YBe2Te at its PBEsol-relaxed geometry.

abc: 3.7937 3.9454 5.1950
angles: 90.00 90.00 90.00
Last column: nearest neighbours and their distance in Å.
Atoms (fractional coordinates):
1 Be 0.0000 0.0000 0.6922  1 Be 2.00
2 Be 0.0000 0.0000 0.3078  1 Be 2.00
3 Te 0.5000 0.0000 0.0000  4 Be 2.48
4 Y 0.5000 0.5000 0.5000  8 Be 2.91, 4 Te 3.26

Output
The value obtained for the energy above the lowest structure with this stoichiometry is 0.000 eV per atom.

***

[10]
The following is a DFT calculation (SCAN) of YBeTe2 at its PBEsol-relaxed geometry.

abc: 3.6666 3.8640 6.9946
angles: 104.47 90.00 90.00
Last column: nearest neighbours and their distance in Å.
Atoms (fractional coordinates):
1 Y 0.5000 0.0000 0.5000  8 Te 3.16-3.26
2 Be 0.5000 0.5000 0.0000  4 Te 2.56
3 Te 0.0000 0.5969 0.7635  2 Be 2.56
4 Te 0.0000 0.4031 0.2365  2 Be 2.56

Output
The value obtained for the energy above the lowest structure with this stoichiometry is 0.046 eV per atom.

***

[11]
The following is a DFT calculation (SCAN) of YBe2Te at its PBEsol-relaxed geometry.

abc: 3.7745 3.8224 5.6406
angles: 109.81 109.55 90.00
Last column: nearest neighbours and their distance in Å.
Atoms (fractional coordinates):
1 Be 0.0401 0.0401 0.0802  2 Be 2.36
2 Te 0.5111 0.5111 0.0222  6 Be 2.56-2.70
3 Y 0.2662 0.7662 0.5324  6 Be 2.81-2.95, 2 Te 3.09
4 Be 0.6826 0.1826 0.3652  2 Be 2.36, 2 Te 2.56

Output
The value obtained for the energy above the lowest structure with this stoichiometry is 0.011 eV per atom.

***

[12]
The following is a DFT calculation (SCAN) of Y2BeTe at its PBEsol-relaxed geometry.

abc: 4.1690 4.1690 5.8916
angles: 90.00 90.00 90.00
Last column: nearest neighbours and their distance in Å.
Atoms (fractional coordinates):
1 Be 0.0000 0.0000 0.3758  6 Y 2.94-2.95
2 Y 0.5000 0.5000 0.3742  2 Te 2.94-2.95, 4 Be 2.95
3 Te 0.5000 0.5000 0.8739  6 Y 2.94-2.95
4 Y 0.0000 0.0000 0.8761  2 Be 2.94-2.95, 4 Te 2.95

Output
The value obtained for the energy above the lowest structure with this stoichiometry is 0.000 eV per atom.